Entry 1:
Ti3ZnCd: optimized geometry, GGA-PBE.

* uncorrected energy: -3.894 eV/atom
* space-group type: Pm-3m (221)
* total magnetic moment: 0.00 μB/cell
* E above lowest polymorph: 3.25 eV/f.u.
* formation enthalpy at 0 K: 1281 meV/atom

Cell: 4.943 4.943 4.943 Å, 90.00 90.00 90.00°
Atoms (fractional coordinates):
Zn 0.500 0.500 0.500
Ti 0.000 0.500 0.000
Ti 0.000 0.000 0.500
Ti 0.500 0.000 0.000
Cd 0.000 0.000 0.000

Entry 2:
TiZnCd2: optimized geometry, GGA-PBE.

* uncorrected energy: -2.433 eV/atom
* space-group type: I-42d (122)
* total magnetic moment: 0.00 μB/cell
* formation enthalpy at 0 K: 317 meV/atom

Cell: 7.591 7.591 6.074 Å, 51.33 51.33 90.00°
Atoms (fractional coordinates):
Zn 0.000 0.000 0.000
Zn 0.750 0.250 0.500
Ti 0.500 0.500 0.000
Ti 0.250 0.750 0.500
Cd 0.646 0.125 0.250
Cd 0.104 0.625 0.250
Cd 0.375 0.354 0.750
Cd 0.875 0.896 0.750

Entry 3:
Ti5Zn6Cd: optimized geometry, GGA-PBE.

* uncorrected energy: -4.134 eV/atom
* space-group type: Immm (71)
* total magnetic moment: 0.61 μB/cell
* formation enthalpy at 0 K: -132 meV/atom

Cell: 4.018 7.541 7.541 Å, 109.23 105.44 105.44°
Atoms (fractional coordinates):
Zn 0.249 0.079 0.418
Zn 0.751 0.582 0.921
Zn 0.749 0.250 0.250
Zn 0.251 0.750 0.750
Zn 0.249 0.418 0.079
Zn 0.751 0.921 0.582
Cd 0.000 0.000 0.000
Ti 0.500 0.176 0.824
Ti 0.000 0.339 0.661
Ti 0.500 0.500 0.500
Ti 0.000 0.661 0.339
Ti 0.500 0.824 0.176

Entry 4:
TiZnCd: optimized geometry, GGA-PBE.

* uncorrected energy: -3.403 eV/atom
* space-group type: Cmcm (63)
* total magnetic moment: 0.00 μB/cell
* formation enthalpy at 0 K: -42 meV/atom

Cell: 3.004 4.288 8.260 Å, 90.00 100.48 90.00°
Atoms (fractional coordinates):
Ti 0.600 0.750 0.199
Ti 0.400 0.250 0.801
Zn 0.958 0.750 0.916
Zn 0.042 0.250 0.084
Cd 0.793 0.750 0.587
Cd 0.207 0.250 0.413

Entry 5:
TiZn2Cd: optimized geometry, GGA-PBE.

* uncorrected energy: -2.914 eV/atom
* space-group type: P4/mmm (123)
* total magnetic moment: 0.00 μB/cell
* formation enthalpy at 0 K: -74 meV/atom

Cell: 2.977 2.977 7.620 Å, 90.00 90.00 90.00°
Atoms (fractional coordinates):
Zn 0.000 0.000 0.736
Zn 0.000 0.000 0.264
Ti 0.500 0.500 0.500
Cd 0.500 0.500 0.000

Entry 6:
Ti6ZnCd: optimized geometry, GGA-PBE.

* uncorrected energy: -6.224 eV/atom
* space-group type: P4/mmm (123)
* total magnetic moment: 0.00 μB/cell
* formation enthalpy at 0 K: -29 meV/atom

Cell: 4.086 4.086 8.138 Å, 90.00 90.00 90.00°
Atoms (fractional coordinates):
Ti 0.500 0.500 0.000
Ti 0.500 0.500 0.500
Ti 0.500 0.000 0.260
Ti 0.500 0.000 0.740
Ti 0.000 0.500 0.260
Ti 0.000 0.500 0.740
Zn 0.000 0.000 0.500
Cd 0.000 0.000 0.000

Entry 7:
Ti2Zn3Cd: optimized geometry, GGA-PBE.

* uncorrected energy: -3.482 eV/atom
* space-group type: P4/mmm (123)
* total magnetic moment: 0.00 μB/cell
* formation enthalpy at 0 K: -61 meV/atom

Cell: 3.194 3.194 9.706 Å, 90.00 90.00 90.00°
Atoms (fractional coordinates):
Ti 0.500 0.500 0.839
Ti 0.500 0.500 0.161
Zn 0.000 0.000 0.000
Zn 0.000 0.000 0.686
Zn 0.000 0.000 0.314
Cd 0.500 0.500 0.500

Entry 8:
Ti5Zn4Cd: optimized geometry, GGA-PBE.

* uncorrected energy: -4.675 eV/atom
* space-group type: P4/mmm (123)
* total magnetic moment: 0.00 μB/cell
* formation enthalpy at 0 K: -126 meV/atom

Cell: 3.149 3.149 16.337 Å, 90.00 90.00 90.00°
Atoms (fractional coordinates):
Ti 0.500 0.500 0.116
Ti 0.500 0.500 0.308
Ti 0.500 0.500 0.500
Ti 0.500 0.500 0.692
Ti 0.500 0.500 0.884
Zn 0.000 0.000 0.212
Zn 0.000 0.000 0.404
Zn 0.000 0.000 0.596
Zn 0.000 0.000 0.788
Cd 0.000 0.000 0.000

Entry 9:
TiZn2Cd2: optimized geometry, GGA-PBE.

* uncorrected energy: -2.261 eV/atom
* space-group type: P4/mbm (127)
* total magnetic moment: 0.19 μB/cell
* E above lowest polymorph: 0.30 eV/f.u.
* formation enthalpy at 0 K: 194 meV/atom

Cell: 7.986 7.986 2.876 Å, 90.00 90.00 90.00°
Atoms (fractional coordinates):
Zn 0.172 0.672 0.500
Zn 0.672 0.828 0.500
Zn 0.828 0.328 0.500
Zn 0.328 0.172 0.500
Ti 0.000 0.000 0.000
Ti 0.500 0.500 0.000
Cd 0.369 0.869 0.000
Cd 0.869 0.631 0.000
Cd 0.631 0.131 0.000
Cd 0.131 0.369 0.000

Entry 10:
Ti2ZnCd2: optimized geometry, GGA-PBE.

* uncorrected energy: -3.540 eV/atom
* space-group type: P4/mbm (127)
* total magnetic moment: 0.00 μB/cell
* E above lowest polymorph: 0.00 eV/f.u.
* formation enthalpy at 0 K: 239 meV/atom

Cell: 6.834 6.834 4.113 Å, 90.00 90.00 90.00°
Atoms (fractional coordinates):
Zn 0.000 0.000 0.000
Zn 0.500 0.500 0.000
Ti 0.159 0.659 0.500
Ti 0.659 0.841 0.500
Ti 0.841 0.341 0.500
Ti 0.341 0.159 0.500
Cd 0.357 0.857 0.000
Cd 0.857 0.643 0.000
Cd 0.643 0.143 0.000
Cd 0.143 0.357 0.000

Entry 11:
Ti3Zn12Cd5: optimized geometry, GGA-PBE.

* uncorrected energy: -1.762 eV/atom
* space-group type: Ia-3d (230)
* total magnetic moment: 10.48 μB/cell
* formation enthalpy at 0 K: 416 meV/atom

Cell: 13.426 13.426 13.426 Å, 109.47 109.47 109.47°
Atoms (fractional coordinates):
Ti 0.750 0.375 0.125
Ti 0.875 0.750 0.125
Ti 0.375 0.750 0.625
Ti 0.250 0.125 0.375
Ti 0.875 0.125 0.250
Ti 0.375 0.625 0.250
Ti 0.625 0.375 0.750
Ti 0.125 0.875 0.750
Ti 0.750 0.875 0.625
Ti 0.625 0.250 0.375
Ti 0.125 0.250 0.875
Ti 0.250 0.625 0.875
Cd 0.125 0.375 0.250
Cd 0.000 0.500 0.000
Cd 0.000 0.000 0.000
Cd 0.375 0.250 0.125
Cd 0.500 0.000 0.500
Cd 0.500 0.500 0.000
Cd 0.125 0.750 0.375
Cd 0.750 0.125 0.875
Cd 0.750 0.625 0.375
Cd 0.375 0.125 0.750
Cd 0.625 0.875 0.250
Cd 0.500 0.500 0.500
Cd 0.500 0.000 0.000
Cd 0.000 0.000 0.500
Cd 0.250 0.375 0.625
Cd 0.250 0.875 0.125
Cd 0.000 0.500 0.500
Cd 0.875 0.250 0.625
Cd 0.625 0.750 0.875
Cd 0.875 0.625 0.750
Zn 0.731 0.153 0.079
Zn 0.348 0.579 0.426
Zn 0.921 0.347 0.269
Zn 0.579 0.231 0.153
Zn 0.578 0.731 0.652
Zn 0.921 0.574 0.152
Zn 0.348 0.769 0.422
Zn 0.074 0.922 0.153
Zn 0.574 0.921 0.652
Zn 0.731 0.578 0.152
Zn 0.769 0.421 0.347
Zn 0.848 0.926 0.079
Zn 0.153 0.731 0.579
Zn 0.347 0.426 0.078
Zn 0.078 0.926 0.347
Zn 0.422 0.153 0.574
Zn 0.078 0.152 0.231
Zn 0.421 0.652 0.074
Zn 0.848 0.922 0.269
Zn 0.153 0.422 0.074
Zn 0.347 0.921 0.769
Zn 0.574 0.653 0.422
Zn 0.926 0.848 0.579
Zn 0.769 0.348 0.922
Zn 0.426 0.347 0.578
Zn 0.074 0.152 0.421
Zn 0.231 0.652 0.078
Zn 0.152 0.078 0.731
Zn 0.653 0.079 0.231
Zn 0.847 0.578 0.926
Zn 0.579 0.348 0.926
Zn 0.578 0.847 0.426
Zn 0.922 0.848 0.769
Zn 0.922 0.074 0.653
Zn 0.847 0.269 0.421
Zn 0.152 0.074 0.921
Zn 0.653 0.574 0.922
Zn 0.426 0.079 0.348
Zn 0.269 0.422 0.848
Zn 0.231 0.579 0.653
Zn 0.926 0.078 0.847
Zn 0.652 0.231 0.578
Zn 0.421 0.769 0.847
Zn 0.079 0.426 0.848
Zn 0.422 0.269 0.348
Zn 0.079 0.653 0.731
Zn 0.652 0.421 0.574
Zn 0.269 0.847 0.921

Entry 12:
TiZn2Cd2: optimized geometry, GGA-PBE.

* uncorrected energy: -2.320 eV/atom
* space-group type: P4/mbm (127)
* total magnetic moment: 2.49 μB/cell
* E above lowest polymorph: 0.00 eV/f.u.
* formation enthalpy at 0 K: 135 meV/atom

Cell: 7.686 7.686 3.103 Å, 90.00 90.00 90.00°
Atoms (fractional coordinates):
Zn 0.380 0.880 0.000
Zn 0.880 0.620 0.000
Zn 0.620 0.120 0.000
Zn 0.120 0.380 0.000
Ti 0.000 0.000 0.000
Ti 0.500 0.500 0.000
Cd 0.181 0.681 0.500
Cd 0.681 0.819 0.500
Cd 0.819 0.319 0.500
Cd 0.319 0.181 0.500